KNp2UO8: optimized geometry, PBE.

abc: 5.243 5.242 7.024
angles: 90.00 90.00 88.22
Fractional positions:
K1 0.000 0.000 0.500
Np1 0.500 0.500 0.750
Np2 0.500 0.500 0.250
U1 0.000 0.000 0.000
O1 0.199 0.801 0.204
O2 0.686 0.685 0.000
O3 0.801 0.199 0.204
O4 0.801 0.199 0.796
O5 0.314 0.315 0.000
O6 0.199 0.801 0.796
O7 0.662 0.662 0.500
O8 0.338 0.338 0.500

Total DFT energy (no corrections) = -111.92 eV per cell
D(E_F) = 1.46 states/eV/atom
SG = No. 65
ΔE_f (raw) = -2.83 eV per atom
Magnetic moment = 5.00 μB/f.u.

=====

TcPIr: optimized geometry, PBE.

abc: 3.047 2.942 5.007
angles: 90.00 104.02 90.00
Fractional positions:
Tc1 0.125 0.500 0.441
P1 0.561 0.000 0.218
Ir1 0.941 0.000 0.860

Total DFT energy (no corrections) = -25.21 eV per cell
D(E_F) = 0.69 states/eV/atom
E_form = -0.6 eV per formula unit
SG = No. 6
Magnetic moment = 0.00 μB/f.u.
Offset from the most stable computed form = 168 meV/atom

=====

HoTm2Te: optimized geometry, PBE.

abc: 3.734 3.734 11.049
angles: 80.27 80.27 60.00
Fractional positions:
Tm1 0.102 0.102 0.693
Tm2 0.898 0.898 0.307
Te1 0.500 0.500 0.500
Ho1 0.000 0.000 0.000

Total DFT energy (no corrections) = -17.27 eV per cell
D(E_F) = 1.38 states/eV/atom
SG = No. 166
ΔE_f (raw) = -0.15 eV per atom
Magnetic moment = 0.57 μB/f.u.
Offset from the most stable computed form = 471 meV/atom